(1)
An optimized crystal structure of HfSnSCl2. Source: Alexandria via LeMat-Bulk, functional PBE.

Uncorrected formation energy   0.325 eV/atom
N(E_F)   5.726 states/eV/cell
Calculated total energy   -4.031 eV per atom
V   28.81 Å³ per atom
Energy above the most stable polymorph in this dataset   1058.5 meV per atom

The structure in CIF format:
```
data_HfSnSCl2
_chemical_formula_sum 'Hf1 Sn1 S1 Cl2'
_cell_length_a 5.211
_cell_length_b 5.211
_cell_length_c 5.306
_cell_angle_alpha 90.00
_cell_angle_beta 90.00
_cell_angle_gamma 90.00
_symmetry_space_group_name_H-M 'P 4/m m m'
_symmetry_Int_Tables_number 123
_symmetry_space_group_name_Hall '-P 4 2'
loop_
_atom_site_label
_atom_site_fract_x
_atom_site_fract_y
_atom_site_fract_z
Hf1 0.000 0.000 0.000
Sn1 0.500 0.500 0.500
S1 0.500 0.500 0.000
Cl1 0.000 0.500 0.500
```


(2)
An optimized crystal structure of SrHfS2Cl. Source: Alexandria via LeMat-Bulk, functional PBE.

Uncorrected formation energy   -1.595 eV/atom
N(E_F)   2.162 states/eV/cell
Calculated total energy   -5.942 eV per atom
V   24.46 Å³ per atom
Energy above the most stable polymorph in this dataset   0.0 meV per atom

The structure in CIF format:
```
data_SrHfS2Cl
_chemical_formula_sum 'Sr1 Hf1 S2 Cl1'
_cell_length_a 4.996
_cell_length_b 4.996
_cell_length_c 4.898
_cell_angle_alpha 90.00
_cell_angle_beta 90.00
_cell_angle_gamma 90.00
_symmetry_space_group_name_H-M 'P 4/m m m'
_symmetry_Int_Tables_number 123
_symmetry_space_group_name_Hall '-P 4 2'
loop_
_atom_site_label
_atom_site_fract_x
_atom_site_fract_y
_atom_site_fract_z
Sr1 0.000 0.000 0.000
Hf1 0.500 0.500 0.500
S1 0.000 0.500 0.500
Cl1 0.500 0.500 0.000
```